This record from Alexandria describes a relaxed structure of Tb12Y6Sc. The functional is PBE-GGA.

Values from the calculation:
Formation enthalpy at 0 K = 165 meV/atom
Polymorph energy (0 for the lowest one) = 0.00 eV per formula unit
Symmetry = R-3
Electronic total energy = -97.54 eV/cell
M_tot = 0.0 μB per formula unit
Crystal system = trigonal

POSCAR file:
```
Tb12Y6Sc
1.0
6.146 3.548 4.719
-6.146 3.548 4.719
0.000 -7.097 4.719
Tb Y Sc
12 6 1
direct
0.027 0.964 0.290
0.036 0.710 0.973
0.130 0.449 0.351
0.290 0.027 0.964
0.351 0.130 0.449
0.449 0.351 0.130
0.551 0.649 0.870
0.649 0.870 0.551
0.710 0.973 0.036
0.870 0.551 0.649
0.964 0.290 0.027
0.973 0.036 0.710
0.226 0.383 0.766
0.234 0.774 0.617
0.383 0.766 0.226
0.617 0.234 0.774
0.766 0.226 0.383
0.774 0.617 0.234
0.500 0.500 0.500
```